Entry 1:
VASP calculation (PBE-GGA) on a geometry-optimized CsTiBe2Nb structure.

Lattice parameters (Å, degrees): 4.6358 4.6358 4.9233 90.00 90.00 90.00
Closest atoms and distances in Å follow each position.
Space group P4/mmm (No. 123)
Unique sites:
Cs 0.0000 0.0000 0.0000 [1 per cell]  4 Be 2.32, 2 Ti 2.46
Ti 0.0000 0.0000 0.5000 [1 per cell]  2 Cs 2.46
Be 0.0000 0.5000 0.0000 [2 per cell]  2 Cs 2.32
Nb 0.5000 0.5000 0.5000 [1 per cell]  4 Ti 3.28, 8 Be 3.38

total DFT energy (no corrections) = -2.645 eV/atom
spin magnetization = 0.0 μB per formula unit

Entry 2:
VASP calculation (PBE-GGA) on a geometry-optimized Pa4Al16Pt3 structure.

Lattice parameters (Å, degrees): 6.1836 6.1836 11.2553 90.00 90.00 90.00
Closest atoms and distances in Å follow each position.
Space group P4/mmm (No. 123)
Unique sites:
Pa 0.0000 0.5000 0.1867 [4 per cell]  12 Al 3.05-3.13
Al 0.0000 0.0000 0.1987 [2 per cell]  8 Al 2.91-2.93, 4 Pa 3.09
Al 0.2134 0.2134 0.0000 [4 per cell]  1 Pt 2.51, 2 Al 2.64
Al 0.2442 0.2442 0.3764 [8 per cell]  2 Pt 2.59, 2 Al 2.78-2.80
Al 0.5000 0.5000 0.2273 [2 per cell]  1 Pt 2.56, 4 Al 2.80
Pt 0.0000 0.5000 0.5000 [2 per cell]  8 Al 2.59
Pt 0.5000 0.5000 0.0000 [1 per cell]  6 Al 2.51-2.56

total DFT energy (no corrections) = -5.574 eV/atom
spin magnetization = 0.0 μB per formula unit

Entry 3:
VASP calculation (PBE-GGA) on a geometry-optimized TeOs2W structure.

Lattice parameters (Å, degrees): 2.9221 4.8892 9.7699 90.00 90.00 90.00
Closest atoms and distances in Å follow each position.
Space group Cmm2 (No. 35)
Unique sites:
Te 0.0000 0.0000 0.0000 [2 per cell]  6 Te 2.85-2.92, 2 Os 2.95, 2 W 3.14
Os 0.0000 0.0000 0.4903 [2 per cell]  2 W 2.64, 8 Os 2.66-2.92
Os 0.0000 0.5000 0.2626 [2 per cell]  8 Os 2.66-2.92, 2 Te 2.95
W 0.0000 0.5000 0.7155 [2 per cell]  2 Os 2.64, 6 W 2.85-2.92

total DFT energy (no corrections) = -8.601 eV/atom
uncorrected formation energy = 1038 meV per atom
spin magnetization = 0.0 μB per formula unit